A plane-wave DFT calculation with PBE was carried out for a relaxed structure of CeErCo3.

Properties
final energy	-5.838	eV/atom
total magnetic moment	0.000	μB/atom

Lattice parameters (Å, degrees): 7.1467 7.1467 12.4495 90.00 90.00 120.00
Space group R-3c (No. 167, hexagonal axes)
Unique sites:
Ce 0.0000 0.0000 0.2500
Er 0.0000 0.0000 0.0000
Co 0.0000 0.3107 0.2500

=====

A plane-wave DFT calculation with PBE was carried out for a relaxed structure of CaB3H7O9.

Properties
final energy	-6.332	eV/atom
total magnetic moment	0.000	μB/atom

Lattice parameters (Å, degrees): 6.502 6.644 8.437 86.50 88.56 78.66
Space group P-1 (No. 2)
Unique sites:
Ca 0.243 0.488 0.122
B 0.165 0.209 0.869
B 0.306 0.535 0.762
B 0.490 0.177 0.703
H 0.048 0.336 0.395
H 0.061 0.867 0.279
H 0.149 0.039 0.082
H 0.222 0.441 0.470
H 0.277 0.743 0.558
H 0.329 0.077 0.393
H 0.356 0.820 0.837
O 0.045 0.835 0.170
O 0.152 0.435 0.847
O 0.200 0.162 0.039
O 0.202 0.343 0.390
O 0.207 0.641 0.615
O 0.329 0.090 0.766
O 0.346 0.926 0.387
O 0.383 0.671 0.871
O 0.498 0.380 0.723

=====

A plane-wave DFT calculation with PBE was carried out for a relaxed structure of KLi2Mg.

Properties
final energy	-1.541	eV/atom
total magnetic moment	0.000	μB/atom

Lattice parameters (Å, degrees): 3.817 3.817 8.358 90.00 90.00 90.00
Space group P4/mmm (No. 123)
Unique sites:
K 0.000 0.000 0.000
Li 0.500 0.500 0.332
Mg 0.000 0.000 0.500

=====

A plane-wave DFT calculation with PBE was carried out for a relaxed structure of Ba8As3PCl3.

Properties
final energy	-4.205	eV/atom
total magnetic moment	0.067	μB/atom
E_form (uncorrected)	-1.519	eV/atom

Lattice parameters (Å, degrees): 9.5184 9.5184 23.0200 90.00 90.00 120.00
Space group R-3m (No. 166, hexagonal axes)
Unique sites:
Ba 0.0000 0.0000 0.2424
Ba 0.0053 0.5027 0.2415
As 0.0000 0.5000 0.5000
P 0.0000 0.0000 0.5000
Cl 0.0000 0.5000 0.0000

=====

A plane-wave DFT calculation with PBE was carried out for a relaxed structure of TaFeRe2.

Properties
final energy	-11.336	eV/atom
total magnetic moment	0.695	μB/atom

Lattice parameters (Å, degrees): 4.339 4.339 3.191 90.00 90.00 90.00
Space group P4/mmm (No. 123)
Unique sites:
Ta 0.000 0.000 0.000
Fe 0.500 0.500 0.000
Re 0.000 0.500 0.500

=====

A plane-wave DFT calculation with PBE was carried out for a relaxed structure of La3PmNd6Dy2.

Properties
final energy	-4.761	eV/atom
total magnetic moment	0.000	μB/atom

Lattice parameters (Å, degrees): 6.363 11.029 12.186 90.00 100.10 90.00
Space group C2/m (No. 12)
Unique sites:
La 0.000 0.000 0.000
La 0.000 0.333 0.000
Pm 0.000 0.500 0.500
Nd 0.248 0.000 0.745
Nd 0.249 0.333 0.745
Dy 0.000 0.167 0.500